KBe2Tl2: single point on PBEsol structure, meta-GGA SCAN.

- E_form (eV per atom) = 1.6405
- D(E_F) (states/eV per atom) = 0.939

Unit cell a=5.3521 b=5.3521 c=5.9713 alpha=90.00 beta=90.00 gamma=90.00
Space group P4/mmm (No. 123)
Asymmetric unit:
K 0.0000 0.0000 0.0000 x1
Be 0.0000 0.5000 0.0000 x2
Tl 0.0000 0.0000 0.5000 x1
Tl 0.5000 0.5000 0.5000 x1